# 1
A plane-wave DFT calculation with PBE was carried out for an optimized crystal structure of Tb4Dy3Ga4.

Properties
Space-group type: No. 71
Calculated total energy in eV/atom: -4.46
Crystal system: orthorhombic

abc: 3.5628 9.0311 10.1614
angles: 116.38 100.10 90.00
Element x y z (fractional)
Tb 0.3340 0.1500 0.6679
Tb 0.6660 0.4821 0.3321
Tb 0.6660 0.8500 0.3321
Tb 0.3340 0.5179 0.6679
Dy 0.0953 0.0953 0.1907
Dy 0.9047 0.9047 0.8093
Dy 0.0000 0.5000 0.0000
Ga 0.2725 0.7725 0.5451
Ga 0.7275 0.2275 0.4549
Ga 0.5000 0.7769 0.0000
Ga 0.5000 0.2231 0.0000

***

# 2
A plane-wave DFT calculation with PBE was carried out for an optimized crystal structure of Tb8DyGa6.

Properties
Space-group type: No. 148
Calculated total energy in eV/atom: -4.35
Crystal system: trigonal

abc: 8.6574 8.6574 7.9519
angles: 57.02 57.02 60.00
Element x y z (fractional)
Tb 0.5545 0.2215 0.3357
Tb 0.7785 0.1117 0.6643
Tb 0.1117 0.4455 0.6643
Tb 0.6664 0.6664 0.0007
Tb 0.3336 0.3336 0.9993
Tb 0.8883 0.5545 0.3357
Tb 0.2215 0.8883 0.3357
Tb 0.4455 0.7785 0.6643
Dy 0.0000 0.0000 0.0000
Ga 0.3909 0.0584 0.8248
Ga 0.9416 0.2741 0.1752
Ga 0.2741 0.6091 0.1752
Ga 0.7259 0.3909 0.8248
Ga 0.0584 0.7259 0.8248
Ga 0.6091 0.9416 0.1752

***

# 3
A plane-wave DFT calculation with PBE was carried out for an optimized crystal structure of Tb3DyGa8.

Properties
Space-group type: No. 160
Calculated total energy in eV/atom: -4.12
Crystal system: trigonal

abc: 5.4969 5.4969 9.6343
angles: 73.42 73.42 60.00
Element x y z (fractional)
Tb 0.3756 0.3756 0.8733
Tb 0.9994 0.9994 0.0019
Tb 0.4995 0.4995 0.5016
Dy 0.8756 0.8756 0.3731
Ga 0.9374 0.4374 0.1878
Ga 0.4377 0.9376 0.6872
Ga 0.4374 0.4374 0.1878
Ga 0.9376 0.9376 0.6872
Ga 0.1875 0.1875 0.4374
Ga 0.6875 0.6875 0.9376
Ga 0.4374 0.9374 0.1878
Ga 0.9376 0.4377 0.6872

***

# 4
A plane-wave DFT calculation with PBE was carried out for an optimized crystal structure of TbDyGa2.

Properties
Space-group type: No. 123
Offset from the most stable computed form in eV per atom: 0.041
Crystal system: tetragonal

abc: 3.5813 3.5813 7.1564
angles: 90.00 90.00 90.00
Element x y z (fractional)
Tb 0.5000 0.5000 0.5000
Ga 0.0000 0.0000 0.7520
Ga 0.0000 0.0000 0.2480
Dy 0.5000 0.5000 0.0000

***

# 5
A plane-wave DFT calculation with PBE was carried out for an optimized crystal structure of TbDyGa4.

Properties
Space-group type: No. 44
Offset from the most stable computed form in eV per atom: 0.000
Crystal system: orthorhombic

abc: 4.2601 5.8118 5.8118
angles: 74.02 68.50 68.50
Element x y z (fractional)
Tb 0.4398 0.0602 0.0602
Dy 0.5607 0.4393 0.4393
Ga 0.1613 0.6404 0.0369
Ga 0.8384 0.8588 0.4644
Ga 0.8384 0.4644 0.8588
Ga 0.1613 0.0369 0.6404

***

# 6
A plane-wave DFT calculation with PBE was carried out for an optimized crystal structure of Tb2DyGa6.

Properties
Space-group type: No. 71
Offset from the most stable computed form in eV per atom: 0.185
Crystal system: orthorhombic

abc: 4.3163 6.9926 7.8481
angles: 116.45 105.96 90.00
Element x y z (fractional)
Tb 0.8737 0.8737 0.7474
Tb 0.1263 0.1263 0.2526
Dy 0.0000 0.5000 0.0000
Ga 0.6835 0.8752 0.3669
Ga 0.3165 0.1248 0.6331
Ga 0.3165 0.5083 0.6331
Ga 0.5000 0.1901 0.0000
Ga 0.5000 0.8099 0.0000
Ga 0.6835 0.4917 0.3669